Entry from Alexandria via LeMat-Bulk: a relaxed BaSrIr4 crystal (GGA-PBEsol).

abc: 7.733 7.733 7.733
angles: 90.00 90.00 90.00
Space group F-43m (No. 216)
Symmetry-distinct sites (fractional):
1 Ba 0.000 0.000 0.000 (multiplicity 4)
2 Sr 0.250 0.250 0.750 (multiplicity 4)
3 Ir 0.125 0.125 0.375 (multiplicity 16)

Summary:
Energy, eV per atom: -7.30
Crystal system: cubic
Energy relative to the elements, eV/f.u.: -0.50